Here is a relaxed Ba4CaPu3O12 crystal from Alexandria. Energies are from GGA-PBE.

a = 7.600 Å, b = 7.600 Å, c = 7.600 Å
α = 109.47°, β = 109.47°, γ = 109.47°
Fractional positions:
Ba1 0.000 0.000 0.500
Ba2 0.000 0.500 0.000
Ba3 0.500 0.000 0.000
Ba4 0.500 0.500 0.500
Ca1 0.000 0.000 0.000
Pu1 0.000 0.500 0.500
Pu2 0.500 0.000 0.500
Pu3 0.500 0.500 0.000
O1 0.000 0.264 0.264
O2 0.000 0.736 0.736
O3 0.250 0.500 0.750
O4 0.250 0.750 0.500
O5 0.264 0.000 0.264
O6 0.264 0.264 0.000
O7 0.500 0.250 0.750
O8 0.500 0.750 0.250
O9 0.736 0.000 0.736
O10 0.736 0.736 0.000
O11 0.750 0.250 0.500
O12 0.750 0.500 0.250

Output
**DOS(E_F)**: 17.22 states/eV/f.u.
**Formation energy (no corrections)**: -58.66 eV/f.u.
**Uncorrected energy**: -170.8 eV/cell
**Crystal system**: cubic